Entry 1:
Cr2RuPt after structural relaxation, computed with PBE-GGA.

Calculated values
E (eV per atom): -8.083
Formation energy (meV per atom): 558

Cell: 6.651 6.651 5.397 Å, 51.97 51.97 90.00°
Positions (direct):
Ru: 0.500 0.500 0.000
Ru: 0.250 0.750 0.500
Pt: 0.000 0.000 0.000
Pt: 0.750 0.250 0.500
Cr: 0.603 0.125 0.250
Cr: 0.147 0.625 0.250
Cr: 0.375 0.397 0.750
Cr: 0.875 0.853 0.750

---

Entry 2:
CrRu2Pt after structural relaxation, computed with PBE-GGA.

Calculated values
E (eV per atom): -8.544
Formation energy (meV per atom): 10

Cell: 4.689 4.689 4.672 Å, 80.07 80.07 33.71°
Each line ends with the local moment (μB).
Positions (direct):
Cr: 0.497 0.497 0.508  1.77
Pt: 0.248 0.248 0.258  0.01
Ru: 0.003 0.003 0.979  -0.17
Ru: 0.752 0.752 0.755  -0.09

---

Entry 3:
Cr2RuPt after structural relaxation, computed with PBE-GGA.

Calculated values
E (eV per atom): -8.658
Formation energy (meV per atom): -17

Cell: 2.687 3.675 5.435 Å, 90.00 90.00 90.00°
Each line ends with the local moment (μB).
Positions (direct):
Cr: 0.000 0.000 0.992  -0.51
Cr: 0.500 0.500 0.229  0.53
Pt: 0.000 0.000 0.489  0.00
Ru: 0.500 0.500 0.790  0.04

---

Entry 4:
Cr3RuPt after structural relaxation, computed with PBE-GGA.

Calculated values
E (eV per atom): -6.937
Formation energy (meV per atom): 1901

Cell: 4.483 4.483 4.483 Å, 90.00 90.00 90.00°
Each line ends with the local moment (μB).
Positions (direct):
Ru: 0.500 0.500 0.500  1.40
Pt: 0.000 0.000 0.000  0.00
Cr: 0.000 0.500 0.000  0.16
Cr: 0.000 0.000 0.500  0.07
Cr: 0.500 0.000 0.000  0.19

---

Entry 5:
Cr2RuPt after structural relaxation, computed with PBE-GGA.

Calculated values
E (eV per atom): -8.630
Formation energy (meV per atom): 11

Cell: 2.740 4.653 5.362 Å, 54.05 90.00 90.00°
Each line ends with the local moment (μB).
Positions (direct):
Cr: 0.000 0.000 0.000  2.09
Cr: 0.500 0.500 0.000  -2.28
Pt: 0.500 0.500 0.500  -0.02
Ru: 0.000 0.000 0.500  0.16

---

Entry 6:
Cr2RuPt after structural relaxation, computed with PBE-GGA.

Calculated values
E (eV per atom): -8.611
Formation energy (meV per atom): 30

Cell: 2.668 2.668 7.507 Å, 90.00 90.00 90.00°
Positions (direct):
Cr: 0.000 0.000 0.999
Cr: 0.500 0.500 0.239
Pt: 0.000 0.000 0.487
Ru: 0.500 0.500 0.775

---

Entry 7:
CrRu2Pt after structural relaxation, computed with PBE-GGA.

Calculated values
E (eV per atom): -8.484
Formation energy (meV per atom): 70

Cell: 8.918 8.918 8.918 Å, 17.44 17.44 17.44°
Positions (direct):
Cr: 0.502 0.502 0.502
Pt: 0.753 0.753 0.753
Ru: 0.997 0.997 0.997
Ru: 0.247 0.247 0.247

---

Entry 8:
CrRu4Pt after structural relaxation, computed with PBE-GGA.

Calculated values
E (eV per atom): -8.287
Formation energy (meV per atom): 507

Cell: 5.066 5.066 5.066 Å, 60.00 60.00 60.00°
Each line ends with the local moment (μB).
Positions (direct):
Cr: 0.750 0.750 0.750  -2.90
Ru: 0.876 0.375 0.375  0.83
Ru: 0.375 0.375 0.876  0.83
Ru: 0.375 0.876 0.375  0.83
Ru: 0.375 0.375 0.375  0.83
Pt: 0.000 0.000 0.000  0.25

---

Look up the formation energy of the seventh one.
70 meV per atom

---

Among the records above, which one has the lowest formation energy?
number 3

---

Repeat the second record exactly.
CrRu2Pt after structural relaxation, computed with PBE-GGA.

Calculated values
E (eV per atom): -8.544
Formation energy (meV per atom): 10

Cell: 4.689 4.689 4.672 Å, 80.07 80.07 33.71°
Each line ends with the local moment (μB).
Positions (direct):
Cr: 0.497 0.497 0.508  1.77
Pt: 0.248 0.248 0.258  0.01
Ru: 0.003 0.003 0.979  -0.17
Ru: 0.752 0.752 0.755  -0.09

---

Which formula does entry 4 have?
Cr3RuPt